# TcPtRhW

A relaxed structure of TcPtRhW (PBE, Alexandria).

a b c (Å): 3.8210 4.0429 3.8570
angles (deg): 90.00 90.00 90.00
Last column: nearest neighbours and their distance in Å.
Fractional coordinates of all 4 atoms:
Tc (0.5000, 0.5000, 0.0000)  4 W 2.71, 4 Pt 2.78, 4 Rh 2.79
Pt (0.0000, 0.0000, 0.0000)  4 Rh 2.71, 4 Tc 2.78, 4 W 2.79
Rh (0.5000, 0.0000, 0.5000)  4 Pt 2.71, 4 W 2.78, 4 Tc 2.79
W (0.0000, 0.5000, 0.5000)  4 Tc 2.71, 4 Rh 2.78, 4 Pt 2.79

Values from the calculation:
- DFT formation energy (kJ/mol of formula units) = -84
- magnetic moment (μB per formula unit) = 0.0
- space-group type = No. 47